Record 1
Below is LaErRuPt after structural relaxation, with properties calculated at the GGA-PBE level.

a = 4.974 Å, b = 4.974 Å, c = 4.974 Å
α = 60.00°, β = 60.00°, γ = 60.00°
Atoms (fractional coordinates):
La 0.000 0.000 0.000
Er 0.500 0.500 0.500
Ru 0.750 0.750 0.750
Pt 0.250 0.250 0.250

Calculated values
- energy relative to the elements (eV/atom) = -0.6634

***

Record 2
Below is Ru2RhCl after structural relaxation, with properties calculated at the GGA-PBE level.

a = 4.591 Å, b = 4.591 Å, c = 2.790 Å
α = 90.00°, β = 90.00°, γ = 97.72°
Atoms (fractional coordinates):
Ru 0.000 0.500 0.000
Ru 0.500 0.000 0.000
Rh 0.000 0.000 0.500
Cl 0.500 0.500 0.500

Calculated values
- formation energy without anion corrections (eV/atom) = 0.81
- energy above the most stable polymorph in this dataset (meV/atom) = 461

***

Record 3
Below is AgH2Pt after structural relaxation, with properties calculated at the GGA-PBE level.

a = 3.788 Å, b = 4.513 Å, c = 10.101 Å
α = 90.00°, β = 90.00°, γ = 90.00°
Atoms (fractional coordinates):
Ag 0.000 0.001 0.143
Ag 0.000 0.999 0.857
Ag 0.500 0.001 0.357
Ag 0.500 0.999 0.643
H 0.000 0.269 0.500
H 0.000 0.499 0.828
H 0.000 0.501 0.172
H 0.000 0.731 0.500
H 0.500 0.269 0.000
H 0.500 0.499 0.672
H 0.500 0.501 0.328
H 0.500 0.731 0.000
Pt 0.000 0.499 0.641
Pt 0.000 0.501 0.359
Pt 0.500 0.499 0.859
Pt 0.500 0.501 0.141

Calculated values
- energy above the most stable polymorph in this dataset (meV/atom) = 3

***

Record 4
Below is BeAl2Ir after structural relaxation, with properties calculated at the GGA-PBE level.

a = 3.155 Å, b = 3.155 Å, c = 5.332 Å
α = 90.00°, β = 90.00°, γ = 90.00°
Atoms (fractional coordinates):
Be 0.000 0.000 0.000
Al 0.000 0.000 0.476
Al 0.500 0.500 0.761
Ir 0.500 0.500 0.229

Calculated values
- energy relative to the elements (eV/atom) = -0.4058

***

Record 5
Below is BePtW after structural relaxation, with properties calculated at the GGA-PBE level.

a = 2.781 Å, b = 2.781 Å, c = 6.216 Å
α = 90.00°, β = 90.00°, γ = 120.00°
Atoms (fractional coordinates):
Be 0.000 0.000 0.000
Pt 0.667 0.333 0.296
W 0.333 0.667 0.667

Calculated values
- energy relative to the elements (eV/atom) = 0.0364
- energy above the most stable polymorph in this dataset (meV/atom) = 377

***

Record 6
Below is CsAl2Pt2 after structural relaxation, with properties calculated at the GGA-PBE level.

a = 7.297 Å, b = 7.297 Å, c = 7.297 Å
α = 142.01°, β = 142.01°, γ = 54.81°
Atoms (fractional coordinates):
Cs 0.000 0.000 0.000
Al 0.301 0.301 0.000
Al 0.699 0.699 0.000
Pt 0.250 0.750 0.500
Pt 0.750 0.250 0.500

Calculated values
- energy relative to the elements (eV/atom) = -0.4604
- energy above the most stable polymorph in this dataset (meV/atom) = 0

***

Record 7
Below is Sm4Bi2H after structural relaxation, with properties calculated at the GGA-PBE level.

a = 9.470 Å, b = 9.470 Å, c = 9.470 Å
α = 151.85°, β = 151.85°, γ = 40.24°
Atoms (fractional coordinates):
Sm 0.000 0.500 0.500
Sm 0.178 0.178 0.000
Sm 0.500 0.000 0.500
Sm 0.822 0.822 0.000
Bi 0.361 0.361 0.000
Bi 0.639 0.639 0.000
H 0.000 0.000 0.000

Calculated values
- energy above the most stable polymorph in this dataset (meV/atom) = 0

***

Record 8
Below is LaI2O2 after structural relaxation, with properties calculated at the GGA-PBE level.

a = 4.499 Å, b = 4.499 Å, c = 7.578 Å
α = 90.00°, β = 90.00°, γ = 90.00°
Atoms (fractional coordinates):
La 0.000 0.000 0.000
I 0.000 0.000 0.500
I 0.500 0.500 0.500
O 0.000 0.500 0.000
O 0.500 0.000 0.000

Calculated values
- formation energy without anion corrections (eV/atom) = -1.17
- energy above the most stable polymorph in this dataset (meV/atom) = 0